Entry from Alexandria: an optimized crystal structure of KZn2CuSn (PBE).

POSCAR file:
```
KZn2CuSn
1.0
-0.8740 -4.3576 -2.6909
2.2150 -3.7271 5.3163
-4.8390 -0.1915 1.8819
Cu Zn Sn K
1 2 1 1
Cartesian
-1.7490 -4.1382 2.2536
-2.4195 -0.0958 0.9409
-0.4370 -2.1788 -1.3454
0.0000 0.0000 0.0000
1.1075 -1.8636 2.6581
```

DOS(E_F)	0.511	states/eV per atom
final energy	-1.73	eV per atom
symmetry	P4/mmm (123)
total magnetic moment	0.00	μB/cell
energy relative to the elements	0.6142	eV/atom

=====

Entry from Alexandria: an optimized crystal structure of Y4CrIn (PBE).

POSCAR file:
```
Y4CrIn
1.0
0.0000 4.4458 4.4458
4.4458 0.0000 4.4458
4.4458 4.4458 0.0000
Cr Y In
1 4 1
Cartesian
6.6687 6.6687 6.6687
5.5582 3.3335 5.5582
3.3335 3.3335 3.3335
5.5582 5.5582 3.3335
3.3335 5.5582 5.5582
0.0000 0.0000 0.0000
```

DOS(E_F)	0.930	states/eV per atom
final energy	-5.85	eV per atom
symmetry	F-43m (216)
total magnetic moment	4.34	μB/cell
energy relative to the elements	0.5190	eV/atom

=====

Q: The highest final energy belongs to which entry?
A: KZn2CuSn